The following is a PBE+U calculation of a geometry-optimized CaNiAs2O6 structure, from the Alexandria database.

CIF file:
```
data_CaNiAs2O6
_symmetry_space_group_name_H-M 'C 1 2/c 1'
_symmetry_Int_Tables_number 15
_cell_length_a 10.912
_cell_length_b 8.270
_cell_length_c 6.978
_cell_angle_alpha 90.00
_cell_angle_beta 120.00
_cell_angle_gamma 90.00
loop_
_symmetry_equiv_pos_as_xyz
'x,y,z'
'-x,-y,-z'
'-x,y,-z+1/2'
'x,-y,z+1/2'
'x+1/2,y+1/2,z'
'-x+1/2,-y+1/2,-z'
'-x+1/2,y+1/2,-z+1/2'
'x+1/2,-y+1/2,z+1/2'
loop_
_atom_site_label
_atom_site_fract_x
_atom_site_fract_y
_atom_site_fract_z
Ca1 0.000 0.165 0.250
Ni1 0.000 0.236 0.750
As1 0.204 0.458 0.185
O1 0.113 0.080 0.682
O2 0.117 0.275 0.068
O3 0.168 0.426 0.441
```

## Properties
- D(E_F) (states/eV/cell) = 6.4
- DFT total energy (eV per atom) = -5.851
- volume (Å³/cell) = 545.3